[1]
Nd2IrPbO8: relaxed, PBE.

Cell lengths 5.1462, 5.1462, 6.9790 Å; angles 90.00, 90.00, 91.22 degrees
With the nearest neighbours (Å) after each atom.
Atoms (fractional coordinates):
Nd 0.0029 0.0029 0.2527  6 O 2.27-2.43
Nd 0.9971 0.9971 0.7473  6 O 2.27-2.43
Ir 0.5000 0.5000 0.5000  6 O 1.89-1.97
Pb 0.5000 0.5000 0.0000  6 O 2.17-2.39
O 0.1988 0.1988 0.9979  1 Pb 2.17, 2 Nd 2.27
O 0.2378 0.2378 0.5024  1 Ir 1.89
O 0.3221 0.6753 0.2871  1 Ir 1.97
O 0.3247 0.6779 0.7129  1 Ir 1.97
O 0.6753 0.3221 0.2871  1 Ir 1.97
O 0.6779 0.3247 0.7129  1 Ir 1.97
O 0.7622 0.7622 0.4976  1 Ir 1.89
O 0.8012 0.8012 0.0021  1 Pb 2.17, 2 Nd 2.27

Properties
Formation energy (no corrections), kcal/mol of atoms: -41.0

[2]
InSiAu: relaxed, PBE.

Cell lengths 3.8898, 5.3873, 6.4877 Å; angles 92.46, 107.43, 90.14 degrees
With the nearest neighbours (Å) after each atom.
Atoms (fractional coordinates):
In 0.0000 0.0000 0.0000  2 Si 2.66-2.74, 3 Au 2.82-2.86
In 0.3202 0.2152 0.6343  4 Au 2.86-3.02
Si 0.0190 0.4935 0.0235  2 Si 2.41, 1 Au 2.51, 1 In 2.66
Si 0.6334 0.5091 0.2534  2 Si 2.41, 1 Au 2.50
Au 0.6670 0.0189 0.3317  2 Si 2.71-2.77, 4 In 2.82-2.87, 1 Au 2.88
Au 0.8301 0.6417 0.6456  2 Si 2.50-2.51

Properties
Formation energy (no corrections), kcal/mol of atoms: 0.3

[3]
Ce2TeBr3: relaxed, PBE.

Cell lengths 9.4621, 9.4621, 14.6202 Å; angles 126.83, 126.83, 26.85 degrees
With the nearest neighbours (Å) after each atom.
Atoms (fractional coordinates):
Ce 0.1232 0.1232 0.3752  3 Br 2.94-3.05, 3 Te 3.16-3.24
Ce 0.2465 0.2465 0.7570  4 Br 2.91-3.04, 2 Te 3.18
Ce 0.7535 0.7535 0.2430  4 Br 2.91-3.04, 2 Te 3.18
Ce 0.8768 0.8768 0.6248  3 Br 2.94-3.05, 3 Te 3.16-3.24
Te 0.3255 0.3255 0.4386  5 Ce 3.16-3.24
Te 0.6745 0.6745 0.5614  5 Ce 3.16-3.24
Br 0.0706 0.0706 0.7165  2 Ce 2.91-2.94
Br 0.1799 0.1799 0.0739  2 Ce 2.94
Br 0.4304 0.4304 0.8006  3 Ce 3.04-3.05
Br 0.5696 0.5696 0.1994  3 Ce 3.04-3.05
Br 0.8201 0.8201 0.9261  2 Ce 2.94
Br 0.9294 0.9294 0.2835  2 Ce 2.91-2.94

Properties
Formation energy (no corrections), kcal/mol of atoms: -37.2

[4]
Si2HgIr2: relaxed, PBE.

Cell lengths 7.3947, 7.3947, 2.8146 Å; angles 90.00, 90.00, 90.00 degrees
With the nearest neighbours (Å) after each atom.
Atoms (fractional coordinates):
Si 0.1460 0.3540 0.0000  6 Ir 2.56-2.62, 2 Si 2.81
Si 0.3540 0.8540 0.0000  6 Ir 2.56-2.62, 2 Si 2.81
Si 0.6460 0.1460 0.0000  6 Ir 2.56-2.62, 2 Si 2.81
Si 0.8540 0.6460 0.0000  6 Ir 2.56-2.62, 2 Si 2.81
Hg 0.0000 0.0000 0.5000  2 Hg 2.81, 4 Ir 2.84
Hg 0.5000 0.5000 0.5000  2 Hg 2.81, 4 Ir 2.84
Ir 0.1428 0.6428 0.5000  6 Si 2.56-2.62, 2 Ir 2.81, 2 Hg 2.84
Ir 0.3572 0.1428 0.5000  6 Si 2.56-2.62, 2 Ir 2.81, 2 Hg 2.84
Ir 0.6428 0.8572 0.5000  6 Si 2.56-2.62, 2 Ir 2.81, 2 Hg 2.84
Ir 0.8572 0.3572 0.5000  6 Si 2.56-2.62, 2 Ir 2.81, 2 Hg 2.84

Properties
Formation energy (no corrections), kcal/mol of atoms: -4.4

[5]
GaPHPtS: relaxed, PBE.

Cell lengths 3.6467, 4.7643, 5.5844 Å; angles 77.42, 71.18, 89.98 degrees
With the nearest neighbours (Å) after each atom.
Atoms (fractional coordinates):
Ga 0.0000 0.0000 0.0000  1 S 2.37, 1 Pt 2.47, 2 P 2.60
P 0.5323 0.3993 0.9353  1 H 1.43
H 0.4020 0.4304 0.1985  1 P 1.43
Pt 0.1444 0.6623 0.7085  2 P 2.37-2.38, 2 S 2.40, 1 Ga 2.47
S 0.7671 0.9137 0.4594  1 Ga 2.37, 2 Pt 2.40

Properties
E_tot, eV for the cell shown: -23.26

[6]
Nd3Ho2TmS6: relaxed, PBE.

Cell lengths 6.8186, 6.8186, 6.9887 Å; angles 99.35, 99.35, 120.16 degrees
With the nearest neighbours (Å) after each atom.
Atoms (fractional coordinates):
Nd 0.0000 0.0000 0.0000  6 S 2.88-2.89
Nd 0.3321 0.6679 0.0000  6 S 2.88-2.89
Nd 0.6679 0.3321 0.0000  6 S 2.88-2.89
Ho 0.1667 0.8333 0.5000  6 S 2.74-2.75
Ho 0.8333 0.1667 0.5000  6 S 2.74-2.75
Tm 0.5000 0.5000 0.5000  6 S 2.72
S 0.0926 0.4234 0.2697  1 Tm 2.72, 2 Ho 2.74, 3 Nd 2.88-2.89
S 0.2463 0.2463 0.7314  1 Tm 2.72, 2 Ho 2.75, 3 Nd 2.89
S 0.4234 0.0926 0.2697  1 Tm 2.72, 2 Ho 2.74, 3 Nd 2.88-2.89
S 0.5766 0.9074 0.7303  1 Tm 2.72, 2 Ho 2.74, 3 Nd 2.88-2.89
S 0.7537 0.7537 0.2686  1 Tm 2.72, 2 Ho 2.75, 3 Nd 2.89
S 0.9074 0.5766 0.7303  1 Tm 2.72, 2 Ho 2.74, 3 Nd 2.88-2.89

Properties
Formation energy (no corrections), kcal/mol of atoms: -46.2

[7]
Fe2SnSbI: relaxed, PBE.

Cell lengths 5.0447, 5.0447, 5.8502 Å; angles 90.00, 90.00, 90.00 degrees
With the nearest neighbours (Å) after each atom.
Atoms (fractional coordinates):
Fe 0.0000 0.5000 0.0000  2 Sn 2.52
Fe 0.5000 0.0000 0.0000  2 Sn 2.52
Sn 0.0000 0.0000 0.0000  4 Fe 2.52
Sb 0.0000 0.0000 0.5000  2 Sn 2.93
I 0.5000 0.5000 0.5000  4 Sb 3.57, 8 Fe 3.86

Properties
Formation energy (no corrections), kcal/mol of atoms: 25.3

[8]
CdHg2Bi2: relaxed, PBE.

Cell lengths 9.2462, 9.2462, 3.4567 Å; angles 90.00, 90.00, 90.00 degrees
With the nearest neighbours (Å) after each atom.
Atoms (fractional coordinates):
Cd 0.0000 0.0000 0.0000  4 Hg 3.45, 2 Cd 3.46
Cd 0.5000 0.5000 0.0000  4 Hg 3.45, 2 Cd 3.46
Hg 0.1649 0.3351 0.0000  6 Bi 3.16-3.27, 2 Cd 3.45, 2 Hg 3.46
Hg 0.3351 0.8351 0.0000  6 Bi 3.16-3.27, 2 Cd 3.45, 2 Hg 3.46
Hg 0.6649 0.1649 0.0000  6 Bi 3.16-3.27, 2 Cd 3.45, 2 Hg 3.46
Hg 0.8351 0.6649 0.0000  6 Bi 3.16-3.27, 2 Cd 3.45, 2 Hg 3.46
Bi 0.1332 0.6332 0.5000  6 Hg 3.16-3.27, 3 Bi 3.46-3.48
Bi 0.3668 0.1332 0.5000  6 Hg 3.16-3.27, 3 Bi 3.46-3.48
Bi 0.6332 0.8668 0.5000  6 Hg 3.16-3.27, 3 Bi 3.46-3.48
Bi 0.8668 0.3668 0.5000  6 Hg 3.16-3.27, 3 Bi 3.46-3.48

Properties
DFT formation energy, eV per atom: 0.18

[9]
CaAc4Te7: relaxed, PBE.

Cell lengths 8.0382, 8.0382, 13.7730 Å; angles 104.68, 104.68, 33.38 degrees
With the nearest neighbours (Å) after each atom.
Atoms (fractional coordinates):
Ca 0.0000 0.0000 0.0000  6 Te 3.17-3.24
Ac 0.1293 0.1293 0.4192  6 Te 3.26-3.35
Ac 0.2307 0.2307 0.8610  6 Te 3.26-3.35
Ac 0.4358 0.4358 0.6372  7 Te 3.28-3.64
Ac 0.8248 0.8248 0.2342  7 Te 3.33-3.55
Te 0.0876 0.0876 0.6391  4 Ac 3.26-3.28
Te 0.1637 0.1637 0.1959  1 Ca 3.17, 3 Ac 3.26-3.33
Te 0.3893 0.3893 0.0797  2 Ca 3.23, 3 Ac 3.34-3.46
Te 0.4664 0.4664 0.3838  5 Ac 3.35-3.64
Te 0.5910 0.5910 0.8986  2 Ca 3.21, 2 Ac 3.29
Te 0.7906 0.7906 0.4795  5 Ac 3.33-3.55
Te 0.8541 0.8541 0.7821  1 Ca 3.24, 4 Ac 3.35-3.50

Properties
Formation energy (no corrections), kcal/mol of atoms: -36.3

[10]
MnCdP2Cl: relaxed, PBE.

Cell lengths 4.9647, 4.9647, 5.2241 Å; angles 90.00, 90.00, 90.00 degrees
With the nearest neighbours (Å) after each atom.
Atoms (fractional coordinates):
Mn 0.0000 0.0000 0.0000  4 Cl 3.51, 8 P 3.60
Cd 0.5000 0.5000 0.5000  4 P 2.48, 2 Cl 2.61
P 0.0000 0.5000 0.5000  2 Cd 2.48
P 0.5000 0.0000 0.5000  2 Cd 2.48
Cl 0.5000 0.5000 0.0000  2 Cd 2.61

Properties
Formation energy (no corrections), kcal/mol of atoms: 21.6

[11]
K2TmSb2Te6: relaxed, PBE.

Cell lengths 7.5690, 7.5690, 8.9637 Å; angles 98.49, 98.49, 119.91 degrees
With the nearest neighbours (Å) after each atom.
Atoms (fractional coordinates):
K 0.1681 0.8319 0.0000  6 Te 3.56-3.63
K 0.8319 0.1681 0.0000  6 Te 3.56-3.63
Tm 0.0000 0.0000 0.5000  6 Te 3.05
Sb 0.3303 0.6697 0.5000  6 Te 3.05-3.09
Sb 0.6697 0.3303 0.5000  6 Te 3.05-3.09
Te 0.0721 0.4032 0.7028  2 Sb 3.05-3.06, 1 Tm 3.05
Te 0.2620 0.2620 0.2986  1 Tm 3.05, 2 Sb 3.09
Te 0.4032 0.0721 0.7028  2 Sb 3.05-3.06, 1 Tm 3.05
Te 0.5968 0.9279 0.2972  2 Sb 3.05-3.06, 1 Tm 3.05
Te 0.7380 0.7380 0.7014  1 Tm 3.05, 2 Sb 3.09
Te 0.9279 0.5968 0.2972  2 Sb 3.05-3.06, 1 Tm 3.05

Properties
Formation energy (no corrections), kcal/mol of atoms: -15.7

[12]
TiV3Os: relaxed, PBE.

Cell lengths 6.9519, 2.4942, 9.1223 Å; angles 90.00, 110.16, 90.00 degrees
With the nearest neighbours (Å) after each atom.
Atoms (fractional coordinates):
Ti 0.1053 0.0000 0.4002  3 Ti 2.49-2.70
Ti 0.8947 0.0000 0.5998  3 Ti 2.49-2.70
V 0.2988 0.5000 0.2012  5 V 2.49-2.66, 2 Os 2.60-2.71
V 0.3049 0.5000 0.6919  5 V 2.49-2.67, 1 Os 2.65
V 0.5000 0.5000 0.0000  6 V 2.49-2.67, 2 Os 2.62
V 0.5000 0.5000 0.5000  6 V 2.49-2.60
V 0.6951 0.5000 0.3081  5 V 2.49-2.67, 1 Os 2.65
V 0.7012 0.5000 0.7988  5 V 2.49-2.66, 2 Os 2.60-2.71
Os 0.0987 0.5000 0.8880  2 Os 2.49, 4 V 2.60-2.71
Os 0.9013 0.5000 0.1120  2 Os 2.49, 4 V 2.60-2.71

Properties
DFT formation energy, eV per atom: 0.31

[13]
Ce2MnSiC: relaxed, PBE.

Cell lengths 6.5982, 3.9113, 7.9190 Å; angles 90.00, 111.89, 90.00 degrees
With the nearest neighbours (Å) after each atom.
Atoms (fractional coordinates):
Ce 0.1906 0.2500 0.4185  1 Mn 2.22
Ce 0.2437 0.7500 0.0215  3 C 2.48-2.64
Ce 0.7563 0.2500 0.9785  3 C 2.48-2.64
Ce 0.8094 0.7500 0.5815  1 Mn 2.22
Mn 0.2179 0.2500 0.7063  1 C 1.86
Mn 0.7821 0.7500 0.2937  1 C 1.86
Si 0.4290 0.7500 0.7272  2 Mn 2.37
Si 0.5710 0.2500 0.2728  2 Mn 2.37
C 0.0124 0.2500 0.8150  1 Mn 1.86
C 0.9876 0.7500 0.1850  1 Mn 1.86

Properties
Formation energy (no corrections), kcal/mol of atoms: -7.3

[14]
La2MgV: relaxed, PBE.

Cell lengths 11.8525, 11.8525, 11.8525 Å; angles 15.83, 15.83, 15.83 degrees
With the nearest neighbours (Å) after each atom.
Atoms (fractional coordinates):
La 0.0783 0.0783 0.0783  1 V 2.75
La 0.9217 0.9217 0.9217  1 V 2.75
Mg 0.5000 0.5000 0.5000  6 Mg 3.26, 6 La 3.63
V 0.0000 0.0000 0.0000  2 La 2.75

Properties
DFT formation energy, eV per atom: 0.57

[15]
Ac4PaIr4: relaxed, PBE.

Cell lengths 7.7987, 7.7987, 9.4560 Å; angles 118.87, 118.87, 33.10 degrees
With the nearest neighbours (Å) after each atom.
Atoms (fractional coordinates):
Ac 0.1241 0.1241 0.3704  4 Ir 3.02-3.28
Ac 0.3307 0.3307 0.1986  5 Ir 3.09-3.18
Ac 0.6693 0.6693 0.8014  5 Ir 3.09-3.18
Ac 0.8759 0.8759 0.6296  4 Ir 3.02-3.28
Pa 0.5000 0.5000 0.0000  6 Ir 2.68-2.76
Ir 0.0942 0.0942 0.9595  2 Pa 2.76
Ir 0.3010 0.3010 0.7608  1 Pa 2.68
Ir 0.6990 0.6990 0.2392  1 Pa 2.68
Ir 0.9058 0.9058 0.0405  2 Pa 2.76

Properties
DFT formation energy, eV per atom: -0.68

[16]
BaMnAu: relaxed, PBE.

Cell lengths 6.4428, 6.4428, 6.4428 Å; angles 146.53, 146.53, 48.05 degrees
With the nearest neighbours (Å) after each atom.
Atoms (fractional coordinates):
Ba 0.0000 0.0000 0.0000  1 Mn 3.28, 5 Au 3.46-3.58
Mn 0.2785 0.2785 0.0000  4 Au 2.76
Au 0.7064 0.7064 0.0000  4 Mn 2.76

Properties
DFT formation energy, eV per atom: 0.01

[17]
TiV3W: relaxed, PBE.

Cell lengths 5.2408, 5.2408, 6.7325 Å; angles 107.13, 107.13, 61.87 degrees
With the nearest neighbours (Å) after each atom.
Atoms (fractional coordinates):
Ti 0.0819 0.0819 0.2334  8 V 2.69-2.93, 1 Ti 2.98
Ti 0.9181 0.9181 0.7666  8 V 2.69-2.93, 1 Ti 2.98
V 0.0748 0.6227 0.3483  4 V 2.44-2.63, 2 W 2.65-2.71, 1 Ti 2.69
V 0.3773 0.9252 0.6517  4 V 2.44-2.63, 2 W 2.65-2.71, 1 Ti 2.69
V 0.4129 0.4129 0.6639  6 V 2.49-2.63, 2 W 2.61-2.64, 2 Ti 2.78
V 0.5871 0.5871 0.3361  6 V 2.49-2.63, 2 W 2.61-2.64, 2 Ti 2.78
V 0.6227 0.0748 0.3483  4 V 2.44-2.63, 2 W 2.65-2.71, 1 Ti 2.69
V 0.9252 0.3773 0.6517  4 V 2.44-2.63, 2 W 2.65-2.71, 1 Ti 2.69
W 0.3295 0.3295 0.0032  6 V 2.61-2.71
W 0.6705 0.6705 0.9968  6 V 2.61-2.71

Properties
DFT formation energy, eV per atom: 0.24

[18]
In2HgSb: relaxed, PBE.

Cell lengths 7.1182, 7.1182, 7.1182 Å; angles 37.85, 37.85, 37.85 degrees
With the nearest neighbours (Å) after each atom.
Atoms (fractional coordinates):
In 0.0000 0.0000 0.0000  3 Sb 3.08, 3 Hg 3.12
In 0.1756 0.1756 0.1756  3 Sb 3.09, 3 Hg 3.24
Hg 0.4156 0.4156 0.4156  6 In 3.12-3.24, 1 Sb 3.42
Sb 0.5884 0.5884 0.5884  6 In 3.08-3.09, 1 Hg 3.42

Properties
Formation energy (no corrections), kcal/mol of atoms: 0.2

[19]
AcLa2Pr2Tm2: relaxed, PBE.

Cell lengths 6.4387, 6.4387, 8.1772 Å; angles 97.34, 97.34, 48.33 degrees
With the nearest neighbours (Å) after each atom.
Atoms (fractional coordinates):
Ac 0.0000 0.0000 0.0000  2 Tm 3.70, 6 La 3.73-3.74, 4 Pr 3.76
La 0.2849 0.2849 0.8471  3 Tm 3.56-3.67, 4 Pr 3.69-3.80, 3 Ac 3.73-3.74, 2 La 3.80
La 0.7151 0.7151 0.1529  3 Tm 3.56-3.67, 4 Pr 3.69-3.80, 3 Ac 3.73-3.74, 2 La 3.80
Pr 0.4253 0.4253 0.2945  1 Pr 3.57, 5 Tm 3.61-3.73, 4 La 3.69-3.80, 2 Ac 3.76
Pr 0.5747 0.5747 0.7055  1 Pr 3.57, 5 Tm 3.61-3.73, 4 La 3.69-3.80, 2 Ac 3.76
Tm 0.1424 0.1424 0.4333  3 La 3.56-3.67, 5 Pr 3.61-3.73, 3 Tm 3.66-3.71, 1 Ac 3.70
Tm 0.8576 0.8576 0.5667  3 La 3.56-3.67, 5 Pr 3.61-3.73, 3 Tm 3.66-3.71, 1 Ac 3.70

Properties
DFT formation energy, eV per atom: 0.04

[20]
LiPrTeO: relaxed, PBE.

Cell lengths 4.2001, 4.2001, 9.7226 Å; angles 90.00, 90.00, 90.00 degrees
With the nearest neighbours (Å) after each atom.
Atoms (fractional coordinates):
Li 0.2500 0.7500 0.0000  4 Te 2.75, 4 Li 2.97
Li 0.7500 0.2500 0.0000  4 Te 2.75, 4 Li 2.97
Pr 0.2500 0.2500 0.3821  4 O 2.39
Pr 0.7500 0.7500 0.6179  4 O 2.39
Te 0.2500 0.2500 0.8168  4 Li 2.75
Te 0.7500 0.7500 0.1832  4 Li 2.75
O 0.2500 0.7500 0.5000  4 Pr 2.39
O 0.7500 0.2500 0.5000  4 Pr 2.39

Properties
Formation energy (no corrections), kcal/mol of atoms: -50.0